Density functional theory data (PBE) for a relaxed structure of LiGe2Bi.

a = 6.585 Å, b = 6.585 Å, c = 7.114 Å
α = 62.43°, β = 62.43°, γ = 90.00°
Sites, in units of the cell vectors:
Ge 0.601 0.125 0.250
Ge 0.149 0.625 0.250
Ge 0.375 0.399 0.750
Ge 0.875 0.851 0.750
Bi 0.000 0.000 0.000
Bi 0.750 0.250 0.500
Li 0.500 0.500 0.000
Li 0.250 0.750 0.500

Output
Uncorrected energy in eV/f.u.: -13.61
Density of states at the Fermi level in states/eV/cell: 2.13
Space group: I-42d (122)